Record 1
{"formula": "PmSm2YTm", "functional": "PBE-GGA", "state": "relaxed", "crystal_system": "orthorhombic", "final_energy_ev_per_atom": -4.645, "m_tot_mub_per_cell": 0.0, "lattice": [[7.230, 0.000, 0.000], [0.000, 8.401, 0.000], [0.000, -4.200, 5.804]], "species": ["Tm", "Tm", "Sm", "Sm", "Sm", "Sm", "Pm", "Pm", "Y", "Y"], "fractional_positions": [[0.250, 0.983, 0.966], [0.750, 0.017, 0.034], [0.000, 0.306, 0.000], [0.000, 0.694, 0.000], [0.500, 0.694, 0.000], [0.500, 0.306, 0.000], [0.250, 0.718, 0.437], [0.750, 0.282, 0.563], [0.250, 0.261, 0.522], [0.750, 0.739, 0.478]]}

Record 2
{"formula": "ReAgBiOs2", "functional": "PBE-GGA", "state": "relaxed", "crystal_system": "tetragonal", "final_energy_ev_per_atom": -5.287, "m_tot_mub_per_cell": 3.0, "lattice": [[-0.945, -4.632, 0.941], [3.194, 0.123, 3.812], [-3.572, 1.329, 2.951]], "species": ["Re", "Ag", "Os", "Os", "Bi"], "fractional_positions": [[0.500, 0.500, 0.500], [0.000, 0.000, 0.000], [0.500, 0.000, 0.000], [0.000, 0.000, 0.500], [0.000, 0.500, 0.000]]}

Record 3
{"formula": "Sr4Zn3Pd2", "functional": "PBE-GGA", "state": "relaxed", "crystal_system": "monoclinic", "final_energy_ev_per_atom": -2.723, "m_tot_mub_per_cell": 0.0, "lattice": [[4.013, 0.000, -1.106], [-0.654, 7.209, -2.372], [0.239, -0.070, 8.697]], "species": ["Sr", "Sr", "Sr", "Sr", "Zn", "Zn", "Zn", "Pd", "Pd"], "fractional_positions": [[0.428, 0.129, 0.856], [0.232, 0.696, 0.464], [0.768, 0.304, 0.536], [0.572, 0.871, 0.144], [0.000, 0.500, 0.000], [0.902, 0.750, 0.804], [0.098, 0.250, 0.196], [0.407, 0.540, 0.814], [0.593, 0.460, 0.186]]}

Record 4
{"formula": "Na2Zn2Pt", "functional": "PBE-GGA", "state": "relaxed", "polymorph_energy_mev_per_atom": 0.0, "crystal_system": "trigonal", "m_tot_mub_per_cell": 0.0, "lattice": [[4.157, 0.000, 1.193], [1.907, 3.694, 1.193], [-0.280, -0.171, 8.813]], "species": ["Zn", "Zn", "Na", "Na", "Pt"], "fractional_positions": [[0.689, 0.689, 0.932], [0.311, 0.311, 0.068], [0.573, 0.573, 0.282], [0.427, 0.427, 0.718], [0.000, 0.000, 0.000]]}

Record 5
{"formula": "KZrC2O6", "functional": "PBE-GGA", "state": "relaxed", "formation_energy_uncorrected_ev_per_atom": -1.883, "crystal_system": "trigonal", "m_tot_mub_per_cell": 0.3, "lattice": [[-4.246, -0.256, 3.143], [0.382, -2.219, 4.786], [0.070, 4.261, 4.892]], "species": ["O", "O", "O", "O", "O", "O", "Zr", "C", "C", "K"], "fractional_positions": [[0.957, 0.422, 0.293], [0.422, 0.328, 0.293], [0.672, 0.043, 0.707], [0.328, 0.957, 0.293], [0.578, 0.672, 0.707], [0.043, 0.578, 0.707], [0.500, 0.500, 0.500], [0.235, 0.235, 0.294], [0.765, 0.765, 0.706], [0.000, 0.000, 0.000]]}

Record 6
{"formula": "TcSe2O", "functional": "PBE-GGA", "state": "relaxed", "formation_energy_uncorrected_ev_per_atom": 0.229, "crystal_system": "tetragonal", "m_tot_mub_per_cell": 0.0, "lattice": [[5.523, 0.000, 0.000], [0.000, 5.523, 0.000], [2.762, 2.762, 5.176]], "species": ["Tc", "Tc", "Se", "Se", "Se", "Se", "O", "O"], "fractional_positions": [[0.000, 0.000, 0.000], [0.750, 0.250, 0.500], [0.375, 0.383, 0.750], [0.875, 0.867, 0.750], [0.133, 0.625, 0.250], [0.617, 0.125, 0.250], [0.250, 0.750, 0.500], [0.500, 0.500, 0.000]]}

Record 7
{"formula": "CrSbMo2N", "functional": "PBE-GGA", "state": "relaxed", "formation_energy_uncorrected_ev_per_atom": -0.062, "crystal_system": "tetragonal", "m_tot_mub_per_cell": 1.6, "lattice": [[-1.477, 0.588, 3.908], [-2.492, -3.376, -0.434], [2.876, -2.307, 1.434]], "species": ["Mo", "Mo", "Sb", "Cr", "N"], "fractional_positions": [[0.500, 0.000, 0.000], [0.000, 0.500, 0.000], [0.500, 0.500, 0.500], [0.000, 0.000, 0.500], [0.000, 0.000, 0.000]]}

Record 8
{"formula": "SmHo3Sb", "functional": "PBE-GGA", "state": "relaxed", "formation_energy_uncorrected_ev_per_atom": -0.382, "crystal_system": "orthorhombic", "m_tot_mub_per_cell": 1.0, "lattice": [[-1.031, 0.113, 3.854], [8.875, -5.400, 2.532], [7.135, 12.451, 1.543]], "species": ["Sb", "Sb", "Sb", "Sb", "Ho", "Ho", "Ho", "Ho", "Ho", "Ho", "Ho", "Ho", "Ho", "Ho", "Ho", "Ho", "Sm", "Sm", "Sm", "Sm"], "fractional_positions": [[0.250, 0.630, 0.862], [0.750, 0.370, 0.138], [0.750, 0.870, 0.362], [0.250, 0.130, 0.638], [0.750, 0.612, 0.270], [0.250, 0.888, 0.770], [0.250, 0.362, 0.314], [0.250, 0.388, 0.730], [0.750, 0.112, 0.230], [0.750, 0.638, 0.686], [0.250, 0.583, 0.076], [0.250, 0.083, 0.424], [0.250, 0.862, 0.186], [0.750, 0.917, 0.576], [0.750, 0.138, 0.814], [0.750, 0.417, 0.924], [0.250, 0.670, 0.472], [0.750, 0.830, 0.972], [0.750, 0.330, 0.528], [0.250, 0.170, 0.028]]}

Record 9
{"formula": "HfTiPd3", "functional": "PBE-GGA", "state": "relaxed", "polymorph_energy_mev_per_atom": 0.0, "crystal_system": "orthorhombic", "m_tot_mub_per_cell": 0.0, "lattice": [[-0.826, -7.209, 1.125], [2.770, 0.635, 6.101], [-6.461, 1.179, 2.811]], "species": ["Pd", "Pd", "Pd", "Pd", "Pd", "Pd", "Pd", "Pd", "Pd", "Pd", "Pd", "Pd", "Ti", "Ti", "Ti", "Ti", "Hf", "Hf", "Hf", "Hf"], "fractional_positions": [[0.847, 0.151, 0.445], [0.153, 0.849, 0.945], [0.374, 0.728, 0.250], [0.874, 0.772, 0.250], [0.847, 0.151, 0.055], [0.653, 0.651, 0.945], [0.347, 0.349, 0.055], [0.347, 0.349, 0.445], [0.153, 0.849, 0.555], [0.626, 0.272, 0.750], [0.653, 0.651, 0.555], [0.126, 0.228, 0.750], [0.500, 0.000, 0.000], [0.000, 0.500, 0.000], [0.000, 0.500, 0.500], [0.500, 0.000, 0.500], [0.844, 0.919, 0.750], [0.344, 0.581, 0.750], [0.656, 0.419, 0.250], [0.156, 0.081, 0.250]]}

Record 10
{"formula": "SiIrSe2", "functional": "PBE-GGA", "state": "relaxed", "formation_energy_uncorrected_ev_per_atom": -0.089, "crystal_system": "monoclinic", "m_tot_mub_per_cell": 0.0, "lattice": [[-2.925, 2.013, 0.069], [-2.309, -3.295, -1.751], [-1.642, -2.569, 5.345]], "species": ["Se", "Se", "Ir", "Si"], "fractional_positions": [[0.000, 0.967, 0.872], [0.500, 0.354, 0.362], [0.500, 0.759, 0.627], [0.000, 0.419, 0.640]]}

Record 11
{"formula": "UHgF3", "functional": "PBE-GGA", "state": "relaxed", "formation_energy_uncorrected_ev_per_atom": -2.590, "crystal_system": "cubic", "m_tot_mub_per_cell": 3.0, "lattice": [[4.724, 0.000, 0.000], [0.000, 4.724, 0.000], [0.000, 0.000, 4.724]], "species": ["Hg", "F", "F", "F", "U"], "fractional_positions": [[0.500, 0.500, 0.500], [0.000, 0.000, 0.500], [0.000, 0.500, 0.000], [0.500, 0.000, 0.000], [0.000, 0.000, 0.000]]}

Record 12
{"formula": "Ta3Cu4", "functional": "PBE-GGA", "state": "relaxed", "crystal_system": "tetragonal", "final_energy_ev_per_atom": -7.265, "m_tot_mub_per_cell": 0.0, "lattice": [[-1.612, 1.612, 10.030], [1.612, -1.612, 10.030], [1.612, 1.612, -10.030]], "species": ["Ta", "Ta", "Ta", "Cu", "Cu", "Cu", "Cu"], "fractional_positions": [[0.000, 0.000, 0.000], [0.711, 0.711, 0.000], [0.289, 0.289, 0.000], [0.134, 0.134, 0.000], [0.866, 0.866, 0.000], [0.426, 0.426, 0.000], [0.574, 0.574, 0.000]]}

Record 13
{"formula": "K2NaPmF6", "functional": "PBE-GGA", "state": "relaxed", "formation_energy_uncorrected_ev_per_atom": -3.294, "crystal_system": "monoclinic", "m_tot_mub_per_cell": 0.6, "lattice": [[-0.988, -6.164, -0.513], [0.113, -0.550, 6.384], [-8.776, 1.522, 0.287]], "species": ["F", "F", "F", "F", "F", "F", "F", "F", "F", "F", "F", "F", "K", "K", "K", "K", "Na", "Na", "Pm", "Pm"], "fractional_positions": [[0.096, 0.463, 0.745], [0.800, 0.785, 0.554], [0.711, 0.298, 0.546], [0.211, 0.202, 0.046], [0.700, 0.285, 0.946], [0.596, 0.037, 0.245], [0.904, 0.537, 0.255], [0.300, 0.715, 0.054], [0.200, 0.215, 0.446], [0.789, 0.798, 0.954], [0.289, 0.702, 0.454], [0.404, 0.963, 0.755], [0.985, 0.046, 0.753], [0.515, 0.546, 0.747], [0.485, 0.454, 0.253], [0.015, 0.954, 0.247], [0.000, 0.500, 0.000], [0.500, 0.000, 0.500], [0.000, 0.500, 0.500], [0.500, 0.000, 0.000]]}

Record 14
{"formula": "Tb5PaS6", "functional": "PBE-GGA", "state": "relaxed", "formation_energy_uncorrected_ev_per_atom": -1.925, "crystal_system": "monoclinic", "m_tot_mub_per_cell": 0.0, "lattice": [[-1.348, 4.178, 5.180], [3.141, -2.225, 5.592], [6.294, 2.111, 1.426]], "species": ["S", "S", "S", "S", "S", "S", "Pa", "Tb", "Tb", "Tb", "Tb", "Tb"], "fractional_positions": [[0.253, 0.247, 0.000], [0.747, 0.753, 0.000], [0.752, 0.083, 0.332], [0.248, 0.917, 0.668], [0.248, 0.586, 0.332], [0.752, 0.414, 0.668], [0.000, 0.000, 0.000], [0.000, 0.334, 0.332], [0.500, 0.500, 0.000], [0.000, 0.666, 0.668], [0.500, 0.829, 0.342], [0.500, 0.171, 0.658]]}

Record 15
{"formula": "Tl2BiSb2", "functional": "PBE-GGA", "state": "relaxed", "formation_energy_uncorrected_ev_per_atom": 0.059, "polymorph_energy_mev_per_atom": 35.7, "crystal_system": "tetragonal", "m_tot_mub_per_cell": 0.0, "lattice": [[-4.384, -5.999, -3.332], [4.362, -5.488, 4.143], [-3.287, 0.277, 3.827]], "species": ["Sb", "Sb", "Sb", "Sb", "Bi", "Bi", "Tl", "Tl", "Tl", "Tl"], "fractional_positions": [[0.373, 0.873, 0.000], [0.873, 0.627, 0.000], [0.127, 0.373, 0.000], [0.627, 0.127, 0.000], [0.000, 0.000, 0.000], [0.500, 0.500, 0.000], [0.319, 0.181, 0.500], [0.819, 0.319, 0.500], [0.181, 0.681, 0.500], [0.681, 0.819, 0.500]]}

Record 16
{"formula": "SrGa8Cu2", "functional": "PBE-GGA", "state": "relaxed", "crystal_system": "tetragonal", "final_energy_ev_per_atom": -3.070, "m_tot_mub_per_cell": 0.0, "lattice": [[-2.138, 3.380, -3.918], [-2.984, -4.269, -2.054], [-6.450, 1.989, 5.236]], "species": ["Ga", "Ga", "Ga", "Ga", "Ga", "Ga", "Ga", "Ga", "Cu", "Cu", "Sr"], "fractional_positions": [[0.248, 0.752, 0.815], [0.248, 0.752, 0.185], [0.248, 0.248, 0.815], [0.752, 0.752, 0.815], [0.248, 0.248, 0.185], [0.752, 0.248, 0.815], [0.752, 0.752, 0.185], [0.752, 0.248, 0.185], [0.500, 0.000, 0.000], [0.000, 0.500, 0.000], [0.500, 0.500, 0.500]]}

Record 17
{"formula": "CaSc2Si", "functional": "PBE-GGA", "state": "relaxed", "formation_energy_uncorrected_ev_per_atom": 0.023, "crystal_system": "monoclinic", "m_tot_mub_per_cell": 0.0, "lattice": [[6.062, 0.001, 0.006], [-2.777, 5.388, 0.006], [0.745, 1.223, 2.837]], "species": ["Sc", "Sc", "Si", "Ca"], "fractional_positions": [[0.000, 0.000, 0.000], [0.500, 0.500, 0.000], [0.500, 0.000, 0.500], [0.000, 0.500, 0.500]]}

Record 18
{"formula": "MgGe2I6", "functional": "PBE-GGA", "state": "relaxed", "formation_energy_uncorrected_ev_per_atom": -0.474, "polymorph_energy_mev_per_atom": 89.5, "crystal_system": "trigonal", "m_tot_mub_per_cell": 0.0, "lattice": [[-2.440, -5.559, -4.647], [-2.806, -6.479, 2.933], [-8.626, -1.020, -0.541]], "species": ["Mg", "I", "I", "I", "I", "I", "I", "Ge", "Ge"], "fractional_positions": [[0.336, 0.336, 0.992], [0.229, 0.596, 0.204], [0.596, 0.971, 0.204], [0.701, 0.470, 0.741], [0.971, 0.229, 0.204], [0.470, 0.088, 0.741], [0.088, 0.701, 0.741], [0.697, 0.697, 0.909], [0.577, 0.577, 0.269]]}

Record 19
{"formula": "NaTcP2Os", "functional": "PBE-GGA", "state": "relaxed", "crystal_system": "tetragonal", "final_energy_ev_per_atom": -7.165, "m_tot_mub_per_cell": 0.0, "lattice": [[4.115, 0.000, 0.000], [0.000, 4.115, 0.000], [-2.058, -2.058, 4.693]], "species": ["Os", "P", "P", "Na", "Tc"], "fractional_positions": [[0.250, 0.750, 0.500], [0.629, 0.629, 0.258], [0.371, 0.371, 0.742], [0.000, 0.000, 0.000], [0.750, 0.250, 0.500]]}

Record 20
{"formula": "LaDySe3", "functional": "PBE-GGA", "state": "relaxed", "formation_energy_uncorrected_ev_per_atom": -1.926, "polymorph_energy_mev_per_atom": 41.6, "crystal_system": "orthorhombic", "m_tot_mub_per_cell": 0.0, "lattice": [[-3.489, 0.063, 2.330], [3.631, -2.554, 5.507], [1.948, 8.561, 2.686]], "species": ["Se", "Se", "Se", "Se", "Se", "Se", "Dy", "Dy", "La", "La"], "fractional_positions": [[0.000, 0.768, 0.336], [0.500, 0.500, 0.073], [0.500, 0.732, 0.664], [0.500, 0.268, 0.664], [0.000, 0.000, 0.927], [0.000, 0.232, 0.336], [0.000, 0.000, 0.601], [0.500, 0.500, 0.399], [0.500, 0.000, 0.150], [0.000, 0.500, 0.850]]}